A plane-wave DFT calculation with GGA-PBE was carried out for an optimized crystal structure of Hf3VN.

Lattice parameters (Å, degrees): 6.2860 7.3067 7.4433 90.00 90.00 90.00
Space group Immm (No. 71)
One atom of each set of equivalent atoms:
Hf 0.0000 0.2069 0.0000 (multiplicity 4)
Hf 0.2399 0.0000 0.2967 (multiplicity 8)
V 0.0000 0.3164 0.5000 (multiplicity 4)
N 0.2404 0.5000 0.5000 (multiplicity 4)

Output
Magnetization = 0.000 Bohr magnetons per cell
VASP energy = -200.83 eV per cell
Uncorrected formation energy = -0.58 eV/atom
Energy above the lowest structure with this stoichiometry = 38 meV per atom

A plane-wave DFT calculation with GGA-PBE was carried out for an optimized crystal structure of CeThZrTi.

Lattice parameters (Å, degrees): 7.4188 7.4188 7.4188 90.00 90.00 90.00
Space group F-43m (No. 216)
One atom of each set of equivalent atoms:
Ce 0.0000 0.0000 0.0000 (multiplicity 4)
Th 0.0000 0.0000 0.5000 (multiplicity 4)
Zr 0.2500 0.2500 0.2500 (multiplicity 4)
Ti 0.2500 0.2500 0.7500 (multiplicity 4)

Output
Magnetization = 6.959 Bohr magnetons per cell
VASP energy = -115.24 eV per cell
ΔH_f (0 K) = 0.246 eV/atom

A plane-wave DFT calculation with GGA-PBE was carried out for an optimized crystal structure of Pr2Sm12Er5.

Lattice parameters (Å, degrees): 12.9680 11.6675 9.3871 90.00 116.19 90.00
Space group C2/m (No. 12)
One atom of each set of equivalent atoms:
Pr 0.0000 0.2247 0.0000 (multiplicity 4)
Sm 0.0783 0.0000 0.7811 (multiplicity 4)
Sm 0.1078 0.2205 0.4171 (multiplicity 8)
Sm 0.1173 0.5000 0.9404 (multiplicity 4)
Sm 0.1962 0.2543 0.8020 (multiplicity 8)
Er 0.0000 0.5000 0.5000 (multiplicity 2)
Er 0.1906 0.0000 0.2351 (multiplicity 4)
Er 0.1967 0.5000 0.3390 (multiplicity 4)

Output
Magnetization = 0.000 Bohr magnetons per cell
VASP energy = -173.61 eV per cell
Energy above the lowest structure with this stoichiometry = 0 meV per atom
ΔH_f (0 K) = 0.116 eV/atom

Question: Which value of magnetization does entry 1 give?
Answer: 0.000 Bohr magnetons per cell

Question: Look up the magnetization of the second one.
Answer: 6.959 Bohr magnetons per cell

Question: Among the records above, which one has the highest magnetization?
Answer: CeThZrTi

Question: What is the formula in the first record?
Answer: Hf3VN